Compound: AcTb5Ag4
Source: Alexandria
Functional: PBE
Structure: relaxed

POSCAR file:
```
AcTb5Ag4
1.0
3.649 0.000 0.000
0.000 3.649 0.000
0.000 0.000 20.211
Ac Tb Ag
1 5 4
Direct
0.000 0.000 0.000
0.500 0.500 0.137
0.500 0.500 0.317
0.500 0.500 0.500
0.500 0.500 0.683
0.500 0.500 0.863
0.000 0.000 0.226
0.000 0.000 0.409
0.000 0.000 0.591
0.000 0.000 0.774
```

Summary:
The value obtained for the total magnetic moment is 0.00 μB/atom. As for the density of states at the Fermi level: 7.6 states/eV/f.u. The symmetry is P4/mmm, No. 123. The calculation puts the uncorrected energy at -4.101 eV/atom.